First-principles (PBE) data for MnBe2RuBr after structural relaxation, as listed in Alexandria via LeMat-Bulk.

formation energy without anion corrections	1.346	eV/atom
SG	P4/mmm

a = 4.095 Å, b = 4.095 Å, c = 4.437 Å
α = 90.00°, β = 90.00°, γ = 90.00°
Atoms (fractional coordinates):
Mn (0.000, 0.000, 0.000)
Be (0.000, 0.500, 0.000)
Be (0.500, 0.000, 0.000)
Ru (0.500, 0.500, 0.500)
Br (0.000, 0.000, 0.500)

First-principles (PBE) data for Tm2NpSe after structural relaxation, as listed in Alexandria via LeMat-Bulk.

formation energy without anion corrections	-0.189	eV/atom
SG	R-3m

a = 10.488 Å, b = 10.488 Å, c = 10.488 Å
α = 19.61°, β = 19.61°, γ = 19.61°
Atoms (fractional coordinates):
Tm (0.106, 0.106, 0.106)
Tm (0.894, 0.894, 0.894)
Np (0.000, 0.000, 0.000)
Se (0.500, 0.500, 0.500)

First-principles (PBE) data for Ca3Cd after structural relaxation, as listed in Alexandria via LeMat-Bulk.

energy relative to the elements	-46.0	kJ/mol of formula units
SG	Pm-3m

a = 5.151 Å, b = 5.151 Å, c = 5.151 Å
α = 90.00°, β = 90.00°, γ = 90.00°
Atoms (fractional coordinates):
Ca (0.000, 0.000, 0.500)
Ca (0.000, 0.500, 0.000)
Ca (0.500, 0.000, 0.000)
Cd (0.500, 0.500, 0.500)

First-principles (PBE) data for Li3Dy2Ga4 after structural relaxation, as listed in Alexandria via LeMat-Bulk.

energy relative to the elements	-340.6	kJ/mol of formula units
SG	Cmce

a = 8.524 Å, b = 8.524 Å, c = 7.514 Å
α = 90.00°, β = 90.00°, γ = 140.67°
Atoms (fractional coordinates):
Li (0.000, 0.000, 0.000)
Li (0.015, 0.485, 0.250)
Li (0.485, 0.015, 0.750)
Li (0.500, 0.500, 0.500)
Li (0.515, 0.985, 0.250)
Li (0.985, 0.515, 0.750)
Dy (0.101, 0.899, 0.400)
Dy (0.399, 0.601, 0.900)
Dy (0.601, 0.399, 0.100)
Dy (0.899, 0.101, 0.600)
Ga (0.162, 0.838, 0.009)
Ga (0.181, 0.319, 0.250)
Ga (0.319, 0.181, 0.750)
Ga (0.338, 0.662, 0.509)
Ga (0.662, 0.338, 0.491)
Ga (0.681, 0.819, 0.250)
Ga (0.819, 0.681, 0.750)
Ga (0.838, 0.162, 0.991)

| no. | mass density (g cm⁻³) |
| --- | --- |
| 1 | 5.7 |
| 2 | 9.5 |
| 3 | 2.8 |
| 4 | 6.0 |